! Zr5Tc3 PBE relaxed; values from VASP
&SYSTEM
  ibrav = 0, nat = 8, ntyp = 2
/
ATOMIC_SPECIES
Zr 91.22 Zr.upf
Tc 98.00 Tc.upf
ATOMIC_POSITIONS crystal
Zr 0.000 0.000 0.769
Zr 0.000 0.000 0.000
Zr 0.000 0.000 0.231
Tc 0.500 0.500 0.122
Zr 0.500 0.500 0.614
Zr 0.500 0.500 0.386
Tc 0.000 0.000 0.500
Tc 0.500 0.500 0.878
CELL_PARAMETERS angstrom
-0.978 0.618 3.121
-0.639 -3.237 0.440
12.957 -1.954 4.446
! E above lowest polymorph   0.0000 eV per atom
! Electronic total energy   -76.2 eV for the cell shown
! Energy of formation   -293 meV/atom